Entry 1:
Below is a relaxed structure of SrRhW2, with properties calculated at the GGA-PBE level.

```
data_SrRhW2
_chemical_formula_sum 'Sr1 Rh1 W2'
_cell_length_a 4.646
_cell_length_b 4.646
_cell_length_c 4.646
_cell_angle_alpha 60.00
_cell_angle_beta 60.00
_cell_angle_gamma 60.00
_symmetry_space_group_name_H-M 'P 1'
_symmetry_Int_Tables_number 1
loop_
_symmetry_equiv_pos_as_xyz
'x,y,z'
loop_
_atom_site_label
_atom_site_fract_x
_atom_site_fract_y
_atom_site_fract_z
Sr1 0.000 0.000 0.000
W1 0.250 0.250 0.250
W2 0.750 0.750 0.750
Rh1 0.500 0.500 0.500
```

## Properties
**Total DFT energy (no corrections)**: -7.4746 eV/atom
**ΔE to the lowest computed polymorph**: 0.715 eV per atom
**Magnetization**: 0.00 μB per formula unit
**Energy relative to the elements**: 1.26 eV/atom

=====

Entry 2:
Below is a relaxed structure of SrRhW2, with properties calculated at the GGA-PBE level.

```
data_SrRhW2
_chemical_formula_sum 'Sr1 Rh1 W2'
_cell_length_a 3.394
_cell_length_b 3.394
_cell_length_c 7.469
_cell_angle_alpha 90.00
_cell_angle_beta 90.00
_cell_angle_gamma 90.00
_symmetry_space_group_name_H-M 'P 1'
_symmetry_Int_Tables_number 1
loop_
_symmetry_equiv_pos_as_xyz
'x,y,z'
loop_
_atom_site_label
_atom_site_fract_x
_atom_site_fract_y
_atom_site_fract_z
Rh1 0.500 0.500 0.250
W1 0.000 0.000 0.090
W2 0.000 0.000 0.410
Sr1 0.500 0.500 0.750
```

## Properties
**Total DFT energy (no corrections)**: -7.9160 eV/atom
**ΔE to the lowest computed polymorph**: 0.274 eV per atom
**Magnetization**: 0.00 μB per formula unit
**Energy relative to the elements**: 0.82 eV/atom